Pm6SnHg5: optimized geometry, GGA-PBE.

POSCAR file:
```
Pm6SnHg5
1.0
3.4921 -5.8370 0.0000
3.4921 5.8370 0.0000
-2.1406 0.0000 8.9389
Pm Sn Hg
6 1 5
Cartesian
0.1000 1.9745 6.5526 Pm
1.0470 0.0000 1.9593 Pm
0.1000 -1.9745 6.5526 Pm
4.7435 1.9745 2.3863 Pm
3.7966 0.0000 6.9796 Pm
4.7435 -1.9745 2.3863 Pm
3.4921 0.0000 0.0000 Sn
-1.0703 0.0000 4.4694 Hg
3.4921 3.4874 0.0000 Hg
2.4218 1.5599 4.4694 Hg
2.4218 -1.5599 4.4694 Hg
3.4921 -3.4874 0.0000 Hg
```

Properties
E_tot = -0.1179 hartree per atom
crystal system = monoclinic
theoretical density = 9.076 Mg/m³
relative energy among the computed polymorphs = 144 meV per atom
space-group type = C2/m (12)

***

Pm5Sn4Hg: optimized geometry, GGA-PBE.

POSCAR file:
```
Pm5Sn4Hg
1.0
3.5285 0.0000 0.0000
0.0000 3.5285 0.0000
0.0000 0.0000 22.3819
Pm Sn Hg
5 4 1
Cartesian
0.0000 0.0000 0.0000 Pm
0.0000 0.0000 4.5307 Pm
0.0000 0.0000 9.0240 Pm
0.0000 0.0000 13.3579 Pm
0.0000 0.0000 17.8512 Pm
1.7642 1.7642 2.2628 Sn
1.7642 1.7642 6.7916 Sn
1.7642 1.7642 15.5903 Sn
1.7642 1.7642 20.1191 Sn
1.7642 1.7642 11.1910 Hg
```

Properties
E_tot = -0.1706 hartree per atom
crystal system = tetragonal
theoretical density = 8.345 Mg/m³
space-group type = P4/mmm (123)

***

Pm5Sn2Hg2: optimized geometry, GGA-PBE.

POSCAR file:
```
Pm5Sn2Hg2
1.0
8.1203 -4.1242 0.0000
8.1203 4.1242 0.0000
0.0000 0.0000 8.1886
Pm Sn Hg
10 4 4
Cartesian
0.0000 0.0000 0.0000 Pm
5.8311 2.7106 5.4670 Pm
5.8311 1.4136 1.3727 Pm
10.4096 2.7106 5.4670 Pm
10.4096 1.4136 1.3727 Pm
8.1203 0.0000 4.0943 Pm
5.8311 -1.4136 6.8159 Pm
5.8311 -2.7106 2.7216 Pm
10.4096 -1.4136 6.8159 Pm
10.4096 -2.7106 2.7216 Pm
3.3136 0.0000 0.0000 Sn
4.8068 0.0000 4.0943 Sn
11.4339 0.0000 4.0943 Sn
12.9271 0.0000 0.0000 Sn
8.1203 3.0584 3.0232 Hg
8.1203 1.0658 7.1175 Hg
8.1203 -1.0658 1.0711 Hg
8.1203 -3.0584 5.1654 Hg
```

Properties
E_tot = -0.1518 hartree per atom
crystal system = orthorhombic
theoretical density = 8.257 Mg/m³
space-group type = Cmce (64)

***

Pm2Sn4Hg: optimized geometry, GGA-PBE.

POSCAR file:
```
Pm2Sn4Hg
1.0
4.5470 0.0000 0.0000
0.0000 4.5470 0.0000
0.0000 0.0000 9.5704
Pm Sn Hg
2 4 1
Cartesian
0.0000 2.2735 2.2448 Pm
2.2735 0.0000 7.3256 Pm
0.0000 0.0000 4.7852 Sn
0.0000 2.2735 7.6707 Sn
2.2735 0.0000 1.8997 Sn
2.2735 2.2735 4.7852 Sn
2.2735 2.2735 0.0000 Hg
```

Properties
E_tot = -0.1517 hartree per atom
crystal system = tetragonal
theoretical density = 8.102 Mg/m³
relative energy among the computed polymorphs = 23 meV per atom
space-group type = P-4m2 (115)

***

E_form per entry: -0.374 -0.637 -0.535 -0.441 eV per atom